LiTeN2F: relaxed, PBE.

abc: 3.5922 3.5922 4.8124
angles: 90.00 90.00 90.00
Sites, in units of the cell vectors:
Li 0.0000 0.0000 0.0000
Te 0.0000 0.0000 0.5000
N 0.0000 0.5000 0.0000
N 0.5000 0.0000 0.0000
F 0.5000 0.5000 0.5000

Properties
- N(E_F): 3.4 states/eV/cell
- VASP energy: -3.410 eV per atom
- Relative energy among the computed polymorphs: 1065 meV per atom
- Formation energy from raw total energies: 126.0 kJ per mole of atoms
- Space-group type: P4/mmm (123)